(1)
VASP calculation (PBE) on an optimized crystal structure of HoTmTe.

a = 8.1573 Å, b = 3.9186 Å, c = 10.5098 Å
α = 90.00°, β = 90.00°, γ = 90.00°
Fractional coordinates of all 12 atoms:
Ho: 0.0050 0.2500 0.1582
Ho: 0.4950 0.7500 0.6582
Ho: 0.5050 0.2500 0.3418
Ho: 0.9950 0.7500 0.8418
Tm: 0.1546 0.2500 0.5551
Tm: 0.3454 0.7500 0.0551
Tm: 0.6546 0.2500 0.9449
Tm: 0.8454 0.7500 0.4449
Te: 0.2049 0.7500 0.3303
Te: 0.2951 0.2500 0.8303
Te: 0.7049 0.7500 0.1697
Te: 0.7951 0.2500 0.6697

Results
ΔE to the lowest computed polymorph in meV/atom: 0
Uncorrected formation energy in eV/atom: -0.814
Total DFT energy (no corrections) in eV/atom: -4.88
Symmetry: Pnma, No. 62
Mass density in g/cm³: 9.12
D(E_F) in states/eV/f.u.: 1.80

(2)
VASP calculation (PBE) on an optimized crystal structure of LaThIn.

a = 5.5450 Å, b = 5.5450 Å, c = 3.2823 Å
α = 90.00°, β = 90.00°, γ = 120.00°
Fractional coordinates of all 3 atoms:
La: 0.0000 0.0000 0.0000
Th: 0.3333 0.6667 0.9999
In: 0.6667 0.3333 0.4983

Results
ΔE to the lowest computed polymorph in meV/atom: 177
Formation energy from the elements in eV/atom: -0.050
Total DFT energy (no corrections) in eV/atom: -5.08
Symmetry: P3m1, No. 156
Mass density in g/cm³: 9.23
D(E_F) in states/eV/f.u.: 2.78

(3)
VASP calculation (PBE) on an optimized crystal structure of HgTeAu2.

a = 4.0470 Å, b = 4.0470 Å, c = 5.9242 Å
α = 90.00°, β = 90.00°, γ = 90.00°
Fractional coordinates of all 4 atoms:
Hg: 0.0000 0.0000 0.0000
Te: 0.5000 0.5000 0.5000
Au: 0.0000 0.0000 0.5000
Au: 0.5000 0.5000 0.0000

Results
ΔE to the lowest computed polymorph in meV/atom: 0
Uncorrected formation energy in eV/atom: 0.034
Total DFT energy (no corrections) in eV/atom: -2.47
Symmetry: P4/mmm, No. 123
Mass density in g/cm³: 12.36
D(E_F) in states/eV/f.u.: 1.98

(4)
VASP calculation (PBE) on an optimized crystal structure of LiUAl11.

a = 6.8901 Å, b = 6.8901 Å, c = 7.0300 Å
α = 97.82°, β = 97.82°, γ = 134.58°
Fractional coordinates of all 13 atoms:
Li: 0.0000 0.0000 0.0000
U: 0.5000 0.5000 0.5000
Al: 0.0000 0.5000 0.5000
Al: 0.0034 0.7908 0.2830
Al: 0.1491 0.5020 0.1474
Al: 0.2092 0.9966 0.7170
Al: 0.4980 0.8509 0.8526
Al: 0.5000 0.0000 0.5000
Al: 0.5000 0.5000 0.0000
Al: 0.5020 0.1491 0.1474
Al: 0.7908 0.0034 0.2830
Al: 0.8509 0.4980 0.8526
Al: 0.9966 0.2092 0.7170

Results
Formation energy from the elements in eV/atom: -0.033
Total DFT energy (no corrections) in eV/atom: -4.22
Symmetry: C2/m, No. 12
Mass density in g/cm³: 4.04
D(E_F) in states/eV/f.u.: 10.84

(5)
VASP calculation (PBE) on an optimized crystal structure of NpMnH5.

a = 4.2996 Å, b = 4.2996 Å, c = 4.2996 Å
α = 129.03°, β = 116.71°, γ = 85.47°
Fractional coordinates of all 7 atoms:
Np: 0.0000 0.0000 0.0000
Mn: 0.5000 0.5000 0.0000
H: 0.0560 0.3270 0.7290
H: 0.4021 0.6730 0.7290
H: 0.5000 0.0000 0.5000
H: 0.5979 0.3270 0.2710
H: 0.9440 0.6730 0.2710

Results
Total DFT energy (no corrections) in eV/atom: -5.69
Symmetry: Immm, No. 71
Mass density in g/cm³: 9.35
D(E_F) in states/eV/f.u.: 5.02

(6)
VASP calculation (PBE) on an optimized crystal structure of KLaSnS3.

a = 7.3965 Å, b = 4.1461 Å, c = 11.6651 Å
α = 90.00°, β = 101.79°, γ = 90.00°
Fractional coordinates of all 12 atoms:
K: 0.1505 0.2500 0.2033
K: 0.8495 0.7500 0.7967
La: 0.2659 0.7500 0.5501
La: 0.7341 0.2500 0.4499
Sn: 0.3731 0.2500 0.8709
Sn: 0.6269 0.7500 0.1291
S: 0.0512 0.2500 0.6391
S: 0.2699 0.7500 0.9964
S: 0.4632 0.7500 0.3627
S: 0.5368 0.2500 0.6373
S: 0.7301 0.2500 0.0036
S: 0.9488 0.7500 0.3609

Results
Uncorrected formation energy in eV/atom: -1.345
Total DFT energy (no corrections) in eV/atom: -5.08
Symmetry: P2_1/m, No. 11
Mass density in g/cm³: 3.73

(7)
VASP calculation (PBE) on an optimized crystal structure of Mn3SN.

a = 3.9053 Å, b = 3.9053 Å, c = 3.9053 Å
α = 90.00°, β = 90.00°, γ = 90.00°
Fractional coordinates of all 5 atoms:
Mn: 0.0000 0.0000 0.5000
Mn: 0.0000 0.5000 0.0000
Mn: 0.5000 0.0000 0.0000
S: 0.5000 0.5000 0.5000
N: 0.0000 0.0000 0.0000

Results
ΔE to the lowest computed polymorph in meV/atom: 0
Uncorrected formation energy in eV/atom: 0.025
Total DFT energy (no corrections) in eV/atom: -7.97
Symmetry: Pm-3m, No. 221
Mass density in g/cm³: 5.88
D(E_F) in states/eV/f.u.: 6.06

(8)
VASP calculation (PBE) on an optimized crystal structure of Sc3Ag.

a = 3.3028 Å, b = 4.6135 Å, c = 6.0515 Å
α = 90.00°, β = 103.25°, γ = 90.00°
Fractional coordinates of all 4 atoms:
Sc: 0.0000 0.0000 0.0000
Sc: 0.4113 0.5000 0.7375
Sc: 0.5887 0.5000 0.2625
Ag: 0.0000 0.0000 0.5000

Results
ΔE to the lowest computed polymorph in meV/atom: 94
Formation energy from the elements in eV/atom: -0.037
Total DFT energy (no corrections) in eV/atom: -5.50
Symmetry: P2/m, No. 10
Mass density in g/cm³: 4.49
D(E_F) in states/eV/f.u.: 4.48